Material: CoHgS2Cl
Method: DFT, PBEsol
State: relaxed

Results
* density of states at the Fermi level: 3.79 states/eV/f.u.
* raw formation energy: 5.5 eV/f.u.
* total DFT energy (no corrections): -13.60 eV per cell
* total moment: 2.8 μB per formula unit

Cell and atoms, written as POSCAR:
```
CoHgS2Cl
1.0
4.9227 0.0000 0.0000
0.0000 4.9227 0.0000
0.0000 0.0000 4.9659
Co Hg S Cl
1 1 2 1
direct
0.0000 0.0000 0.0000 Co
0.5000 0.5000 0.5000 Hg
0.0000 0.5000 0.5000 S
0.5000 0.0000 0.5000 S
0.5000 0.5000 0.0000 Cl
```



Material: CoI2NCl
Method: DFT, PBEsol
State: relaxed

Results
* density of states at the Fermi level: 4.45 states/eV/f.u.
* raw formation energy: 1.9 eV/f.u.
* total DFT energy (no corrections): -19.92 eV per cell
* total moment: 0.0 μB per formula unit

Cell and atoms, written as POSCAR:
```
CoI2NCl
1.0
5.4443 0.0000 0.0000
0.0000 5.4443 0.0000
0.0000 0.0000 3.3786
Co I N Cl
1 2 1 1
direct
0.0000 0.0000 0.0000 Co
0.0000 0.5000 0.0000 I
0.5000 0.0000 0.0000 I
0.0000 0.0000 0.5000 N
0.5000 0.5000 0.5000 Cl
```



Material: CoS2ICl
Method: DFT, PBEsol
State: relaxed

Results
* density of states at the Fermi level: 6.30 states/eV/f.u.
* raw formation energy: 6.3 eV/f.u.
* total DFT energy (no corrections): -13.99 eV per cell
* total moment: 2.6 μB per formula unit

Cell and atoms, written as POSCAR:
```
CoS2ICl
1.0
5.1307 0.0000 0.0000
0.0000 5.1307 0.0000
0.0000 0.0000 5.0237
Co S I Cl
1 2 1 1
direct
0.0000 0.0000 0.0000 Co
0.0000 0.5000 0.5000 S
0.5000 0.0000 0.5000 S
0.5000 0.5000 0.5000 I
0.5000 0.5000 0.0000 Cl
```



Material: CoTeI2Cl
Method: DFT, PBEsol
State: relaxed

Results
* density of states at the Fermi level: 6.99 states/eV/f.u.
* raw formation energy: 1.2 eV/f.u.
* total DFT energy (no corrections): -15.56 eV per cell
* total moment: 0.7 μB per formula unit

Cell and atoms, written as POSCAR:
```
CoTeI2Cl
1.0
5.1820 0.0000 0.0000
0.0000 5.1820 0.0000
0.0000 0.0000 4.8091
Co Te I Cl
1 1 2 1
direct
0.0000 0.0000 0.0000 Co
0.0000 0.0000 0.5000 Te
0.0000 0.5000 0.0000 I
0.5000 0.0000 0.0000 I
0.5000 0.5000 0.5000 Cl
```



Material: InCoCl
Method: DFT, PBEsol
State: relaxed

Results
* density of states at the Fermi level: 4.45 states/eV/f.u.
* raw formation energy: 1.1 eV/f.u.
* total DFT energy (no corrections): -11.59 eV per cell
* total moment: 0.3 μB per formula unit

Cell and atoms, written as POSCAR:
```
InCoCl
1.0
0.0000 3.0230 3.0230
3.0230 0.0000 3.0230
3.0230 3.0230 0.0000
In Co Cl
1 1 1
direct
0.0000 0.0000 0.0000 In
0.2500 0.2500 0.2500 Co
0.5000 0.5000 0.5000 Cl
```



Material: InCoCl2
Method: DFT, PBEsol
State: relaxed

Results
* density of states at the Fermi level: 1.50 states/eV/f.u.
* offset from the most stable computed form: 0.272 eV per atom
* raw formation energy: -0.7 eV/f.u.
* total DFT energy (no corrections): -15.41 eV per cell
* total moment: 2.0 μB per formula unit

Cell and atoms, written as POSCAR:
```
InCoCl2
1.0
-1.6005 2.9600 4.3984
1.6005 -2.9600 4.3984
1.6005 2.9600 -4.3984
In Co Cl
1 1 2
direct
0.0000 0.0000 0.0000 In
0.7636 0.2636 0.5000 Co
0.2431 0.7431 0.5000 Cl
0.5818 0.5818 0.0000 Cl
```



Material: In2CoCl
Method: DFT, PBEsol
State: relaxed

Results
* density of states at the Fermi level: 2.70 states/eV/f.u.
* offset from the most stable computed form: 0.194 eV per atom
* raw formation energy: 0.1 eV/f.u.
* total DFT energy (no corrections): -15.65 eV per cell
* total moment: 1.3 μB per formula unit

Cell and atoms, written as POSCAR:
```
In2CoCl
1.0
-1.4701 2.5707 5.1367
1.4701 -2.5707 5.1367
1.4701 2.5707 -5.1367
In Co Cl
2 1 1
direct
0.0000 0.0000 0.0000 In
0.7138 0.2138 0.5000 In
0.4996 0.4996 0.0000 Co
0.3267 0.8267 0.5000 Cl
```



Material: InCoCl2
Method: DFT, PBEsol
State: relaxed

Results
* offset from the most stable computed form: 0.000 eV per atom
* raw formation energy: -1.8 eV/f.u.
* total DFT energy (no corrections): -16.50 eV per cell
* total moment: 2.0 μB per formula unit

Cell and atoms, written as POSCAR:
```
InCoCl2
1.0
1.6968 0.9796 8.0943
-1.6968 0.9796 8.0943
0.0000 -1.9592 8.0943
In Co Cl
1 1 2
direct
0.0000 0.0000 0.0000 In
0.2565 0.2565 0.2565 Co
0.5413 0.5413 0.5413 Cl
0.7426 0.7426 0.7426 Cl
```



Material: InCoCl2
Method: DFT, PBEsol
State: relaxed

Results
* density of states at the Fermi level: 3.98 states/eV/f.u.
* offset from the most stable computed form: 0.247 eV per atom
* raw formation energy: -0.8 eV/f.u.
* total DFT energy (no corrections): -15.51 eV per cell
* total moment: 2.1 μB per formula unit

Cell and atoms, written as POSCAR:
```
InCoCl2
1.0
1.6972 -2.9462 0.0000
1.6972 2.9462 0.0000
0.0000 0.0000 8.5870
In Co Cl
1 1 2
direct
0.0000 0.0000 0.0000 In
0.5000 0.5000 0.7671 Co
0.0000 0.0000 0.6009 Cl
0.5000 0.5000 0.2251 Cl
```



Material: In2CoCl
Method: DFT, PBEsol
State: relaxed

Results
* density of states at the Fermi level: 1.61 states/eV/f.u.
* offset from the most stable computed form: 0.000 eV per atom
* raw formation energy: -0.7 eV/f.u.
* total DFT energy (no corrections): -16.43 eV per cell
* total moment: 0.6 μB per formula unit

Cell and atoms, written as POSCAR:
```
In2CoCl
1.0
3.1070 0.0000 0.0000
0.0000 3.1423 0.0000
-0.0125 0.0000 7.6758
In Co Cl
2 1 1
direct
0.0010 0.0000 0.1978 In
0.9990 0.0000 0.8022 In
0.5000 0.5000 0.0000 Co
0.0000 0.5000 0.5000 Cl
```



Material: InCoCl2
Method: DFT, PBEsol
State: relaxed

Results
* density of states at the Fermi level: 3.77 states/eV/f.u.
* offset from the most stable computed form: 0.143 eV per atom
* raw formation energy: -1.2 eV/f.u.
* total DFT energy (no corrections): -15.93 eV per cell
* total moment: 2.1 μB per formula unit

Cell and atoms, written as POSCAR:
```
InCoCl2
1.0
-1.6286 2.6813 4.7254
1.6286 -2.6813 4.7254
1.6286 2.6813 -4.7254
In Co Cl
1 1 2
direct
0.0000 0.0000 0.0000 In
0.5000 0.5000 0.0000 Co
0.3280 0.8280 0.5000 Cl
0.6720 0.1720 0.5000 Cl
```



Material: In2CoCl
Method: DFT, PBEsol
State: relaxed

Results
* density of states at the Fermi level: 3.35 states/eV/f.u.
* offset from the most stable computed form: 0.435 eV per atom
* raw formation energy: 1.0 eV/f.u.
* total DFT energy (no corrections): -14.69 eV per cell
* total moment: 1.4 μB per formula unit

Cell and atoms, written as POSCAR:
```
In2CoCl
1.0
-1.6494 2.7607 4.4111
1.6494 -2.7607 4.4111
1.6494 2.7607 -4.4111
In Co Cl
2 1 1
direct
0.2258 0.2258 0.0000 In
0.7742 0.7742 0.0000 In
0.0000 0.5000 0.5000 Co
0.5000 0.0000 0.5000 Cl
```